Crystalline Ce2Y3HoN6 at its relaxed geometry, computed with PBE.

abc: 6.0680 6.0680 6.0639
angles: 99.59 99.59 120.01
Closest atoms and distances in Å follow each position.
Element x y z (fractional)
N (0.5842, 0.9175, 0.7526)  2 Ce 2.47, 1 Ho 2.47, 3 Y 2.48-2.49
N (0.7501, 0.7501, 0.2496)  3 Y 2.47-2.48, 1 Ho 2.47, 2 Ce 2.48
Ce (0.6668, 0.3332, 0.0000)  6 N 2.47-2.48
N (0.4158, 0.0825, 0.2474)  2 Ce 2.47, 1 Ho 2.47, 3 Y 2.48-2.49
Y (0.5000, 0.5000, 0.5000)  6 N 2.48-2.49
Ce (0.3332, 0.6668, 0.0000)  6 N 2.47-2.48
N (0.2499, 0.2499, 0.7504)  3 Y 2.47-2.48, 1 Ho 2.47, 2 Ce 2.48
Ho (0.0000, 0.0000, 0.0000)  6 N 2.47
N (0.0825, 0.4158, 0.2474)  2 Ce 2.47, 1 Ho 2.47, 3 Y 2.48-2.49
Y (0.8340, 0.1660, 0.5000)  6 N 2.47-2.49
N (0.9175, 0.5842, 0.7526)  2 Ce 2.47, 1 Ho 2.47, 3 Y 2.48-2.49
Y (0.1660, 0.8340, 0.5000)  6 N 2.47-2.49

theoretical density: 7.25 Mg/m³
DOS at the Fermi energy: 5.5 states/eV/f.u.
electronic total energy: -8.783 eV/atom
energy relative to the elements, uncorrected: -1.63 eV/atom

Crystalline Dy3PuTl3S8 at its relaxed geometry, computed with PBE.

abc: 8.0238 8.0236 8.8744
angles: 116.89 90.00 120.00
Closest atoms and distances in Å follow each position.
Element x y z (fractional)
Tl (0.5000, 0.5000, 0.0000)  6 S 3.26
S (0.2623, 0.0345, 0.3069)  1 Pu 2.70, 2 Dy 2.76
S (0.7323, 0.4646, 0.6968)  3 Dy 2.75
S (0.7377, 0.9655, 0.6931)  1 Pu 2.70, 2 Dy 2.76
S (0.2278, 0.9655, 0.6931)  1 Pu 2.70, 2 Dy 2.76
Dy (0.0000, 0.5000, 0.5000)  6 S 2.75-2.76
Pu (0.0000, 0.0000, 0.5000)  6 S 2.70
Dy (0.5000, 0.5000, 0.5000)  6 S 2.75-2.76
Dy (0.5000, 0.0000, 0.5000)  6 S 2.75-2.76
Tl (0.0000, 0.0000, 0.0000)  6 S 3.26
S (0.2677, 0.5354, 0.3032)  3 Dy 2.75
S (0.2278, 0.4556, 0.6931)  1 Pu 2.70, 2 Dy 2.76
S (0.7722, 0.0345, 0.3069)  1 Pu 2.70, 2 Dy 2.76
S (0.7722, 0.5444, 0.3069)  1 Pu 2.70, 2 Dy 2.76
Tl (0.0000, 0.5000, 0.0000)  6 S 3.26

theoretical density: 6.30 Mg/m³
DOS at the Fermi energy: 9.6 states/eV/f.u.
electronic total energy: -6.016 eV/atom
energy relative to the elements, uncorrected: -1.47 eV/atom

Crystalline YNi2Te at its relaxed geometry, computed with PBE.

abc: 5.3444 5.3444 5.3444
angles: 46.77 46.77 46.77
Closest atoms and distances in Å follow each position.
Element x y z (fractional)
Ni (0.5408, 0.5408, 0.5408)  3 Te 2.52, 3 Ni 2.73
Ni (0.9592, 0.9592, 0.9592)  3 Te 2.52, 3 Ni 2.73
Y (0.7500, 0.7500, 0.7500)  8 Ni 2.98-3.02
Te (0.2500, 0.2500, 0.2500)  6 Ni 2.52

theoretical density: 7.49 Mg/m³
DOS at the Fermi energy: 3.6 states/eV/f.u.
electronic total energy: -5.701 eV/atom
energy relative to the elements, uncorrected: -0.41 eV/atom

What is the formula in the first record? Ce2Y3HoN6

Which value of electronic total energy does entry 3 give? -5.701 eV/atom

Which formula does entry 3 have? YNi2Te

What did the second record say?
Crystalline Dy3PuTl3S8 at its relaxed geometry, computed with PBE.

abc: 8.0238 8.0236 8.8744
angles: 116.89 90.00 120.00
Closest atoms and distances in Å follow each position.
Element x y z (fractional)
Tl (0.5000, 0.5000, 0.0000)  6 S 3.26
S (0.2623, 0.0345, 0.3069)  1 Pu 2.70, 2 Dy 2.76
S (0.7323, 0.4646, 0.6968)  3 Dy 2.75
S (0.7377, 0.9655, 0.6931)  1 Pu 2.70, 2 Dy 2.76
S (0.2278, 0.9655, 0.6931)  1 Pu 2.70, 2 Dy 2.76
Dy (0.0000, 0.5000, 0.5000)  6 S 2.75-2.76
Pu (0.0000, 0.0000, 0.5000)  6 S 2.70
Dy (0.5000, 0.5000, 0.5000)  6 S 2.75-2.76
Dy (0.5000, 0.0000, 0.5000)  6 S 2.75-2.76
Tl (0.0000, 0.0000, 0.0000)  6 S 3.26
S (0.2677, 0.5354, 0.3032)  3 Dy 2.75
S (0.2278, 0.4556, 0.6931)  1 Pu 2.70, 2 Dy 2.76
S (0.7722, 0.0345, 0.3069)  1 Pu 2.70, 2 Dy 2.76
S (0.7722, 0.5444, 0.3069)  1 Pu 2.70, 2 Dy 2.76
Tl (0.0000, 0.5000, 0.0000)  6 S 3.26

theoretical density: 6.30 Mg/m³
DOS at the Fermi energy: 9.6 states/eV/f.u.
electronic total energy: -6.016 eV/atom
energy relative to the elements, uncorrected: -1.47 eV/atom